1.
Below is Ca3MgCo after structural relaxation, with properties calculated at the GGA-PBE level.

Output
Excess energy over the best structure of this formula in the dataset: 0.0000 eV/atom
DOS(E_F): 0.5638 states/eV/atom
Total magnetization: 0.000 μB per atom
Space-group type: Pm-3m, No. 221
Total DFT energy (no corrections): -2.761 eV per atom
ΔH_f (0 K): 0.180 eV per atom

Unit cell a=5.391 b=5.391 c=5.391 alpha=90.00 beta=90.00 gamma=90.00
Fractional positions:
Ca 0.000 0.000 0.500
Ca 0.000 0.500 0.000
Ca 0.500 0.000 0.000
Mg 0.500 0.500 0.500
Co 0.000 0.000 0.000

***

2.
Below is FeTcCl3 after structural relaxation, with properties calculated at the GGA-PBE level.

Output
Excess energy over the best structure of this formula in the dataset: 0.0000 eV/atom
Raw formation energy: 1.849 eV per formula unit
DOS(E_F): 1.5141 states/eV/atom
Total magnetization: 1.659 μB per atom
Space-group type: Pm-3m, No. 221
Total DFT energy (no corrections): -4.504 eV per atom

Unit cell a=4.807 b=4.807 c=4.807 alpha=90.00 beta=90.00 gamma=90.00
Fractional positions:
Fe 0.000 0.000 0.000
Tc 0.500 0.500 0.500
Cl 0.000 0.000 0.500
Cl 0.000 0.500 0.000
Cl 0.500 0.000 0.000

***

Which of these has the highest DOS(E_F)?
FeTcCl3

***

Number 2 is which compound?
FeTcCl3